*w*
Zr2NbH | PBE-GGA | relaxed

a = 2.934 Å, b = 2.934 Å, c = 7.665 Å
α = 90.00°, β = 90.00°, γ = 90.00°
Fractional coordinates of all 4 atoms:
Zr (0.000, 0.000, 0.192)
Zr (0.000, 0.000, 0.808)
Nb (0.500, 0.500, 0.500)
H (0.500, 0.500, 0.000)

## Properties
Space-group type: P4/mmm, No. 123
M_tot: 0.00 μB per formula unit
Density of states at the Fermi level: 4.0 states/eV/f.u.

*x*
Zr2NbH | PBE-GGA | relaxed

a = 5.637 Å, b = 5.637 Å, c = 5.637 Å
α = 109.69°, β = 109.69°, γ = 109.03°
Fractional coordinates of all 8 atoms:
Zr (0.035, 0.125, 0.410)
Zr (0.375, 0.965, 0.090)
Zr (0.715, 0.625, 0.590)
Zr (0.875, 0.285, 0.910)
Nb (0.250, 0.750, 0.500)
Nb (0.500, 0.500, 0.000)
H (0.000, 0.000, 0.000)
H (0.750, 0.250, 0.500)

## Properties
Space-group type: I-42d, No. 122
M_tot: 0.00 μB per formula unit
Density of states at the Fermi level: 2.4 states/eV/f.u.

*y*
Zr2NbH | PBE-GGA | relaxed

a = 4.651 Å, b = 4.651 Å, c = 4.651 Å
α = 60.00°, β = 60.00°, γ = 60.00°
Fractional coordinates of all 4 atoms:
Zr (0.250, 0.250, 0.250)
Zr (0.750, 0.750, 0.750)
Nb (0.000, 0.000, 0.000)
H (0.500, 0.500, 0.500)

## Properties
Space-group type: Fm-3m, No. 225
M_tot: 0.00 μB per formula unit
Density of states at the Fermi level: 3.0 states/eV/f.u.

Quick ranking, most stable first: *x*, *w*, *y*.

*w*
Zr3NbH | PBE-GGA | relaxed

a = 4.471 Å, b = 4.471 Å, c = 4.471 Å
α = 90.00°, β = 90.00°, γ = 90.00°
Fractional coordinates of all 5 atoms:
Zr (0.000, 0.000, 0.500)
Zr (0.000, 0.500, 0.000)
Zr (0.500, 0.000, 0.000)
Nb (0.500, 0.500, 0.500)
H (0.000, 0.000, 0.000)

## Properties
Space-group type: Pm-3m, No. 221
M_tot: 0.00 μB per formula unit
Density of states at the Fermi level: 6.8 states/eV/f.u.

*x*
Zr3NbH | PBE-GGA | relaxed

a = 5.131 Å, b = 5.131 Å, c = 5.131 Å
α = 90.00°, β = 90.00°, γ = 90.00°
Fractional coordinates of all 5 atoms:
Zr (0.000, 0.000, 0.500)
Zr (0.000, 0.500, 0.000)
Zr (0.500, 0.000, 0.000)
Nb (0.000, 0.000, 0.000)
H (0.500, 0.500, 0.500)

## Properties
Space-group type: Pm-3m, No. 221
M_tot: 0.56 μB per formula unit
Density of states at the Fermi level: 8.2 states/eV/f.u.

Quick ranking, most stable first: *w*, *x*.

*w*
Nd2H5 | PBE-GGA | relaxed

a = 6.687 Å, b = 6.687 Å, c = 6.687 Å
α = 132.39°, β = 132.39°, γ = 69.61°
Fractional coordinates of all 14 atoms:
Nd (0.122, 0.372, 0.750)
Nd (0.372, 0.122, 0.250)
Nd (0.628, 0.878, 0.750)
Nd (0.878, 0.628, 0.250)
H (0.000, 0.269, 0.269)
H (0.000, 0.731, 0.731)
H (0.125, 0.875, 0.250)
H (0.269, 0.000, 0.769)
H (0.269, 0.500, 0.269)
H (0.500, 0.269, 0.769)
H (0.500, 0.731, 0.231)
H (0.731, 0.000, 0.231)
H (0.731, 0.500, 0.731)
H (0.875, 0.125, 0.750)

## Properties
Space-group type: I4_1/amd, No. 141
M_tot: 0.00 μB per formula unit
Density of states at the Fermi level: 1.1 states/eV/f.u.

*x*
Nd2H5 | PBE-GGA | relaxed

a = 6.804 Å, b = 6.804 Å, c = 6.804 Å
α = 130.30°, β = 67.58°, γ = 137.27°
Fractional coordinates of all 14 atoms:
Nd (0.121, 0.238, 0.358)
Nd (0.379, 0.738, 0.117)
Nd (0.621, 0.262, 0.883)
Nd (0.879, 0.762, 0.642)
H (0.006, 0.750, 0.256)
H (0.083, 0.838, 0.921)
H (0.250, 0.750, 0.500)
H (0.417, 0.338, 0.755)
H (0.494, 0.750, 0.744)
H (0.506, 0.250, 0.256)
H (0.583, 0.662, 0.245)
H (0.750, 0.250, 0.500)
H (0.917, 0.162, 0.079)
H (0.994, 0.250, 0.744)

## Properties
Space-group type: Ibam, No. 72
M_tot: 0.00 μB per formula unit
Density of states at the Fermi level: 2.2 states/eV/f.u.

Quick ranking, most stable first: *w*, *x*.